# NaVRu2F | Alexandria via LeMat-Bulk | PBE+U | optimized geometry
# Total DFT energy (no corrections) in eV/f.u.: -18.31
# Space group: No. 123
data_NaVRu2F
_cell_length_a 4.679
_cell_length_b 5.260
_cell_length_c 4.679
_cell_angle_alpha 90.00
_cell_angle_beta 90.00
_cell_angle_gamma 90.00
_space_group_name_H-M_alt 'P 1'
_space_group_IT_number 1
_space_group_name_Hall 'P 1'
loop_
_atom_site_label
_atom_site_type_symbol
_atom_site_fract_x
_atom_site_fract_y
_atom_site_fract_z
_atom_site_occupancy
Ru1 Ru 0.000 0.000 0.500 1
Ru2 Ru 0.500 0.000 0.000 1
F1 F 0.500 0.500 0.500 1
V1 V 0.000 0.500 0.000 1
Na1 Na 0.000 0.000 0.000 1